Record 1
Density functional theory data (PBE-GGA) for crystalline Ti3GaP at its relaxed geometry.

Geometry as extended XYZ:
```
10
Lattice="-2.969 -3.148 -1.321 1.322 -0.601 6.209 -5.160 3.864 2.388" Properties=species:S:1:pos:R:3 pbc="T T T"
Ti -4.049 -1.206 4.225
Ti -2.759 1.321 3.051
Ti -5.981 0.788 3.816
Ti -1.066 0.610 0.942
Ti -5.741 -0.495 6.333
Ti -0.826 -0.673 3.460
P -4.603 2.759 3.768
P -2.205 -2.644 3.507
Ga -3.663 1.081 5.655
Ga -3.144 -0.967 1.621
```

Calculated values
ΔE to the lowest computed polymorph: 0.00 eV/f.u.
Uncorrected energy: -6.823 eV per atom
Symmetry: C2/m
E_form: -0.399 eV per atom
Crystal system: monoclinic


Record 2
Density functional theory data (PBE-GGA) for crystalline TiGa2P at its relaxed geometry.

Geometry as extended XYZ:
```
8
Lattice="-2.704 -2.221 -6.393 0.130 -6.900 2.343 -3.658 -4.296 -1.114" Properties=species:S:1:pos:R:3 pbc="T T T"
Ga -1.255 -5.733 0.188
Ga -5.000 -10.989 -4.452
Ga -2.504 -3.256 -3.782
Ga -3.705 -6.857 -2.281
P -1.287 -4.561 -2.025
P -2.408 -7.879 -0.398
Ti 0.000 0.000 0.000
Ti -3.825 -5.539 -4.766
```

Calculated values
ΔE to the lowest computed polymorph: 0.00 eV/f.u.
Uncorrected energy: -4.940 eV per atom
Symmetry: I-42d
E_form: -0.101 eV per atom
Crystal system: tetragonal


Record 3
Density functional theory data (PBE-GGA) for crystalline Ti7Ga2P2 at its relaxed geometry.

Geometry as extended XYZ:
```
11
Lattice="3.407 0.000 0.000 1.704 7.713 0.072 1.704 3.720 6.757" Properties=species:S:1:pos:R:3 pbc="T T T"
Ti 5.111 6.630 5.849
Ti 3.407 3.799 6.624
Ti 3.407 1.541 2.030
Ti 3.407 4.584 1.773
Ti 1.704 3.139 3.765
Ti 3.407 8.915 6.435
Ti 3.407 7.698 3.633
P 1.704 2.949 0.967
P 5.111 9.183 4.690
Ga 3.407 5.165 4.337
Ga 1.704 6.696 1.775
```

Calculated values
Uncorrected energy: -7.221 eV per atom
Symmetry: Imm2
E_form: -0.663 eV per atom
Crystal system: orthorhombic


Record 4
Density functional theory data (PBE-GGA) for crystalline Ti8Ga2P at its relaxed geometry.

Geometry as extended XYZ:
```
11
Lattice="4.284 0.000 0.000 0.000 5.379 0.007 -2.142 -2.225 7.945" Properties=species:S:1:pos:R:3 pbc="T T T"
Ti 0.000 3.700 5.565
Ti 2.142 -0.851 7.640
Ti 2.142 2.245 1.461
Ti 0.000 0.733 3.652
Ti 2.142 2.422 4.300
Ti 0.000 4.006 0.312
Ti 2.142 -0.546 2.387
Ti 0.000 0.910 6.491
Ga 2.142 -0.136 5.122
Ga 0.000 3.291 2.830
P 2.142 0.000 0.000
```

Calculated values
Uncorrected energy: -7.137 eV per atom
Symmetry: C2/m
E_form: -0.354 eV per atom
Crystal system: monoclinic


Record 5
Density functional theory data (PBE-GGA) for crystalline Ti3GaP at its relaxed geometry.

Geometry as extended XYZ:
```
5
Lattice="4.517 0.000 0.000 0.000 4.517 0.000 0.000 0.000 4.517" Properties=species:S:1:pos:R:3 pbc="T T T"
P 0.000 0.000 0.000
Ti 0.000 2.259 0.000
Ti 2.259 0.000 0.000
Ti 0.000 0.000 2.259
Ga 2.259 2.259 2.259
```

Calculated values
ΔE to the lowest computed polymorph: 0.52 eV/f.u.
Uncorrected energy: -6.720 eV per atom
Symmetry: Pm-3m
E_form: -0.295 eV per atom
Crystal system: cubic


Record 6
Density functional theory data (PBE-GGA) for crystalline TiVGa2P at its relaxed geometry.

Geometry as extended XYZ:
```
5
Lattice="4.942 0.000 0.000 0.000 4.942 0.000 0.000 0.000 4.301" Properties=species:S:1:pos:R:3 pbc="T T T"
Ti 0.000 0.000 0.000
Ga 0.000 2.471 0.000
Ga 2.471 0.000 0.000
P 2.471 2.471 2.151
V 0.000 0.000 2.151
```

Calculated values
Uncorrected energy: -4.701 eV per atom
Symmetry: P4/mmm
E_form: 0.995 eV per atom
Crystal system: tetragonal


Record 7
Density functional theory data (PBE-GGA) for crystalline Tl3GaP at its relaxed geometry.

Geometry as extended XYZ:
```
5
Lattice="5.392 0.000 0.000 0.000 5.392 0.000 0.000 0.000 5.392" Properties=species:S:1:pos:R:3 pbc="T T T"
P 0.000 0.000 0.000
Tl 2.696 0.000 0.000
Tl 0.000 0.000 2.696
Tl 0.000 2.696 0.000
Ga 2.696 2.696 2.696
```

Calculated values
ΔE to the lowest computed polymorph: 0.00 eV/f.u.
Uncorrected energy: -2.638 eV per atom
Symmetry: Pm-3m
E_form: 0.469 eV per atom
Crystal system: cubic


Record 8
Density functional theory data (PBE-GGA) for crystalline TlGaP at its relaxed geometry.

Geometry as extended XYZ:
```
3
Lattice="5.544 0.000 0.000 0.000 3.864 0.000 0.000 -1.932 3.347" Properties=species:S:1:pos:R:3 pbc="T T T"
Tl 3.695 1.932 1.116
P 0.496 0.000 0.000
Ga 1.354 0.000 2.231
```

Calculated values
Uncorrected energy: -3.664 eV per atom
Symmetry: P3m1
E_form: -0.063 eV per atom
Crystal system: trigonal


Record 9
Density functional theory data (PBE-GGA) for crystalline Tl3GaP at its relaxed geometry.

Geometry as extended XYZ:
```
5
Lattice="-2.558 -2.252 -4.166 4.265 0.964 -3.140 2.060 -4.793 1.326" Properties=species:S:1:pos:R:3 pbc="T T T"
Tl 1.030 -2.396 0.663
Tl 2.132 0.482 -1.570
Tl -1.279 -1.126 -2.083
P 1.883 -3.040 -2.990
Ga 0.000 0.000 0.000
```

Calculated values
ΔE to the lowest computed polymorph: 0.52 eV/f.u.
Uncorrected energy: -2.534 eV per atom
Symmetry: Pm-3m
E_form: 0.573 eV per atom
Crystal system: cubic


Record 10
Density functional theory data (PBE-GGA) for crystalline Tl2Ga2P at its relaxed geometry.

Geometry as extended XYZ:
```
10
Lattice="6.594 0.000 0.000 0.000 6.594 0.000 0.000 0.000 5.575" Properties=species:S:1:pos:R:3 pbc="T T T"
Ga 0.925 2.372 0.000
Ga 5.669 4.222 0.000
Ga 2.372 5.669 0.000
Ga 4.222 0.925 0.000
Tl 2.106 1.192 2.788
Tl 5.403 2.106 2.788
Tl 1.192 4.489 2.788
Tl 4.489 5.403 2.788
P 3.297 3.297 0.000
P 0.000 0.000 0.000
```

Calculated values
Uncorrected energy: -3.145 eV per atom
Symmetry: P4/mbm
E_form: 0.094 eV per atom
Crystal system: tetragonal


Record 11
Density functional theory data (PBE-GGA) for crystalline TlVGa2P at its relaxed geometry.

Geometry as extended XYZ:
```
5
Lattice="-4.618 1.086 2.237 -2.471 -1.469 -4.387 -0.273 -4.766 1.750" Properties=species:S:1:pos:R:3 pbc="T T T"
Tl 0.000 0.000 0.000
Ga -1.235 -0.734 -2.194
Ga -2.309 0.543 1.118
P -0.137 -2.383 0.875
V -3.681 -2.575 -0.200
```

Calculated values
Uncorrected energy: -3.043 eV per atom
Symmetry: P4/mmm
E_form: 1.546 eV per atom
Crystal system: tetragonal


Record 12
Density functional theory data (PBE-GGA) for crystalline TmGaP at its relaxed geometry.

Geometry as extended XYZ:
```
6
Lattice="-1.311 -2.374 -3.706 -2.510 -3.814 0.486 -7.677 2.100 -1.474" Properties=species:S:1:pos:R:3 pbc="T T T"
Ga -4.305 -0.092 -1.263
Ga -7.193 -3.996 -3.431
Tm -3.868 -3.267 -2.229
Tm -7.630 -0.821 -2.465
P -9.239 -2.666 -3.559
P -2.259 -1.422 -1.135
```

Calculated values
Uncorrected energy: -5.066 eV per atom
Symmetry: R-3m
E_form: -0.763 eV per atom
Crystal system: trigonal